DFT (PBE with a Hubbard U) results for K2CoP4O12 after structural relaxation.

Lattice parameters (Å, degrees): 8.3221 8.3221 7.5494 98.68 98.68 96.45
Sites, in units of the cell vectors:
K1 0.1247 0.8753 0.5000
K2 0.5727 0.8359 0.3467
K3 0.8359 0.5727 0.8467
K4 0.8753 0.1247 0.0000
Co1 0.2118 0.5269 0.1743
Co2 0.5269 0.2118 0.6743
P1 0.1864 0.3339 0.7618
P2 0.1909 0.8745 0.9918
P3 0.3339 0.1864 0.2618
P4 0.4044 0.5564 0.6032
P5 0.5056 0.8744 0.8478
P6 0.5564 0.4044 0.1032
P7 0.8745 0.1909 0.4918
P8 0.8744 0.5056 0.3478
O1 0.0208 0.8578 0.8885
O2 0.0634 0.2358 0.5857
O3 0.0925 0.3830 0.9119
O4 0.2260 0.3179 0.2870
O5 0.2355 0.7695 0.1318
O6 0.2358 0.0634 0.0857
O7 0.2504 0.5010 0.6959
O8 0.3093 0.8624 0.8400
O9 0.3179 0.2260 0.7870
O10 0.3400 0.6436 0.4523
O11 0.3830 0.0925 0.4119
O12 0.4234 0.5093 0.0712
O13 0.5010 0.2504 0.1959
O14 0.5093 0.4234 0.5712
O15 0.5215 0.6872 0.7643
O16 0.5485 0.9769 0.7087
O17 0.6026 0.9133 0.0343
O18 0.6436 0.3400 0.9523
O19 0.6872 0.5215 0.2643
O20 0.7695 0.2355 0.6318
O21 0.8578 0.0208 0.3885
O22 0.8624 0.3093 0.3400
O23 0.9133 0.6026 0.5343
O24 0.9769 0.5485 0.2087

Output
For the spin magnetization, the calculation gives 3.00 μB/f.u. The calculated density comes out at 2.97 g cm⁻³. As for the total energy: -0.2486 hartree per atom.